No. 1
DFT (PBE) results for a geometry-optimized ScTaCo3 structure.

Properties
- Energy above the lowest structure with this stoichiometry: 0 meV/atom
- DFT formation energy: 0.801 eV/atom
- D(E_F): 1.43 states/eV/atom
- Calculated total energy: -35.50 eV per cell

Unit cell a=4.4574 b=4.4574 c=4.4574 alpha=90.00 beta=90.00 gamma=90.00
Space group Pm-3m (No. 221)
Unique sites:
Sc 0.0000 0.0000 0.0000 x1
Ta 0.5000 0.5000 0.5000 x1
Co 0.0000 0.5000 0.5000 x3

No. 2
DFT (PBE) results for a geometry-optimized ScTaCo structure.

Properties
- Energy above the lowest structure with this stoichiometry: 192 meV/atom
- DFT formation energy: 0.096 eV/atom
- D(E_F): 0.72 states/eV/atom
- Calculated total energy: -25.00 eV per cell

Unit cell a=4.3277 b=4.3277 c=3.0916 alpha=90.00 beta=90.00 gamma=120.00
Space group P3m1 (No. 156)
Unique sites:
Sc 0.0000 0.0000 0.0000 x1
Ta 0.6667 0.3333 0.4391 x1
Co 0.3333 0.6667 0.6544 x1

No. 3
DFT (PBE) results for a geometry-optimized Sc4TaCo structure.

Properties
- DFT formation energy: 0.718 eV/atom
- D(E_F): 1.42 states/eV/atom
- Calculated total energy: -159.90 eV per cell

Unit cell a=7.8866 b=7.8866 c=7.8866 alpha=90.00 beta=90.00 gamma=90.00
Space group F-43m (No. 216)
Unique sites:
Sc 0.1241 0.1241 0.1241 x16
Ta 0.2500 0.2500 0.7500 x4
Co 0.0000 0.0000 0.5000 x4

> Which of these has the lowest DFT formation energy?

ScTaCo

> Which of these has the lowest D(E_F)?

ScTaCo

> What is the formula in the first record?

ScTaCo3

> Among the records above, which one has the lowest D(E_F)?

ScTaCo